Entry 1:
# CaNdGa

A geometry-optimized CaNdGa structure (PBE, the Alexandria database).

Unit cell a=11.8031 b=5.0365 c=6.8252 alpha=90.00 beta=121.56 gamma=90.00
Closest atoms and distances in Å follow each position.
Element x y z (fractional)
Ca (0.0483, 0.0000, 0.3096)  3 Ga 3.09-3.46, 1 Ca 3.34
Ca (0.4517, 0.5000, 0.6904)  3 Ga 3.09-3.46, 1 Ca 3.34
Ca (0.5483, 0.5000, 0.3096)  3 Ga 3.09-3.46, 1 Ca 3.34
Ca (0.9517, 0.0000, 0.6904)  3 Ga 3.09-3.46, 1 Ca 3.34
Nd (0.1785, 0.5000, 0.1086)  3 Ga 3.13-3.20
Nd (0.3215, 0.0000, 0.8914)  3 Ga 3.13-3.20
Nd (0.6785, 0.0000, 0.1086)  3 Ga 3.13-3.20
Nd (0.8215, 0.5000, 0.8914)  3 Ga 3.13-3.20
Ga (0.1391, 0.5000, 0.6176)  1 Ga 2.80, 2 Ca 3.09, 1 Nd 3.13
Ga (0.3609, 0.0000, 0.3824)  1 Ga 2.80, 2 Ca 3.09, 1 Nd 3.13
Ga (0.6391, 0.0000, 0.6176)  1 Ga 2.80, 2 Ca 3.09, 1 Nd 3.13
Ga (0.8609, 0.5000, 0.3824)  1 Ga 2.80, 2 Ca 3.09, 1 Nd 3.13

Computed properties:
* volume: 28.81 Å³/atom
* M_tot: 0.000 Bohr magnetons per cell
* ΔH_f (0 K): -278 meV per atom



Entry 2:
# CaNd2Ga6

A geometry-optimized CaNd2Ga6 structure (PBE, the Alexandria database).

Unit cell a=7.4159 b=7.4159 c=4.3289 alpha=90.00 beta=90.00 gamma=120.00
Closest atoms and distances in Å follow each position.
Element x y z (fractional)
Ca (0.0000, 0.0000, 0.0000)  12 Ga 3.29
Nd (0.3333, 0.6667, 0.0000)  12 Ga 3.28
Nd (0.6667, 0.3333, 0.0000)  12 Ga 3.28
Ga (0.0000, 0.3344, 0.5000)  3 Ga 2.46-2.48
Ga (0.0000, 0.6656, 0.5000)  3 Ga 2.46-2.48
Ga (0.3344, 0.0000, 0.5000)  3 Ga 2.46-2.48
Ga (0.3344, 0.3344, 0.5000)  3 Ga 2.46-2.48
Ga (0.6656, 0.0000, 0.5000)  3 Ga 2.46-2.48
Ga (0.6656, 0.6656, 0.5000)  3 Ga 2.46-2.48

Computed properties:
* volume: 22.91 Å³/atom
* M_tot: 0.000 Bohr magnetons per cell
* ΔH_f (0 K): -616 meV per atom



Entry 3:
# CaNdGaO4

A geometry-optimized CaNdGaO4 structure (PBE, the Alexandria database).

Unit cell a=6.6066 b=6.6066 c=5.5618 alpha=90.00 beta=90.00 gamma=131.87
Closest atoms and distances in Å follow each position.
Element x y z (fractional)
Ca (0.1032, 0.8968, 0.5000)  4 O 2.26-2.51
Ca (0.8968, 0.1032, 0.0000)  4 O 2.26-2.51
Nd (0.3904, 0.6096, 0.5334)  4 O 2.30-2.49
Nd (0.6096, 0.3904, 0.0334)  4 O 2.30-2.49
Ga (0.2461, 0.7539, 0.0181)  6 O 1.95-2.16
Ga (0.7539, 0.2461, 0.5181)  6 O 1.95-2.16
O (0.0179, 0.4784, 0.2639)  2 Ga 1.95-1.96
O (0.0809, 0.9191, 0.0767)  1 Ga 2.02, 1 Ca 2.26
O (0.4226, 0.5774, 0.9562)  1 Ga 2.16, 2 Nd 2.30-2.38
O (0.4784, 0.0179, 0.7639)  2 Ga 1.95-1.96
O (0.5216, 0.9821, 0.2639)  2 Ga 1.95-1.96
O (0.5774, 0.4226, 0.4562)  1 Ga 2.16, 2 Nd 2.30-2.38
O (0.9191, 0.0809, 0.5767)  1 Ga 2.02, 1 Ca 2.26
O (0.9821, 0.5216, 0.7639)  2 Ga 1.95-1.96

Computed properties:
* uncorrected formation energy: -2689 meV per atom
* volume: 12.91 Å³/atom
* M_tot: 0.000 Bohr magnetons per cell



Entry 4:
# CaNdGaO4

A geometry-optimized CaNdGaO4 structure (PBE, the Alexandria database).

Unit cell a=6.6047 b=6.6047 c=6.6047 alpha=121.42 beta=118.23 gamma=90.32
Closest atoms and distances in Å follow each position.
Element x y z (fractional)
Ca (0.5000, 0.0000, 0.0000)  6 O 2.37-2.40
Ca (0.5000, 0.5000, 0.5000)  6 O 2.37-2.40
Nd (0.0000, 0.0000, 0.0000)  6 O 2.38
Nd (0.5000, 0.0000, 0.5000)  6 O 2.38
Ga (0.1209, 0.3709, 0.7500)  4 O 1.94-1.95
Ga (0.8791, 0.6291, 0.2500)  4 O 1.94-1.95
O (0.2327, 0.7447, 0.4880)  1 Ga 1.94
O (0.2433, 0.2553, 0.9880)  1 Ga 1.94
O (0.2461, 0.2539, 0.5077)  1 Ga 1.95
O (0.2461, 0.7384, 0.9923)  1 Ga 1.95
O (0.7539, 0.2616, 0.0077)  1 Ga 1.95
O (0.7539, 0.7461, 0.4923)  1 Ga 1.95
O (0.7567, 0.7447, 0.0120)  1 Ga 1.94
O (0.7673, 0.2553, 0.5120)  1 Ga 1.94

Computed properties:
* uncorrected formation energy: -2549 meV per atom
* volume: 14.58 Å³/atom
* M_tot: 0.000 Bohr magnetons per cell



Entry 5:
# CaNdGa2Pd5

A geometry-optimized CaNdGa2Pd5 structure (PBE, the Alexandria database).

Unit cell a=4.2597 b=4.2597 c=9.3649 alpha=90.00 beta=90.00 gamma=90.00
Closest atoms and distances in Å follow each position.
Element x y z (fractional)
Ca (0.0000, 0.0000, 0.0000)  8 Ga 3.27, 8 Pd 3.34
Nd (0.0000, 0.0000, 0.5000)  12 Pd 3.00-3.01
Ga (0.5000, 0.5000, 0.1359)  4 Pd 2.50, 1 Ga 2.54
Ga (0.5000, 0.5000, 0.8641)  4 Pd 2.50, 1 Ga 2.54
Pd (0.0000, 0.5000, 0.2750)  2 Ga 2.50
Pd (0.0000, 0.5000, 0.7250)  2 Ga 2.50
Pd (0.5000, 0.0000, 0.2750)  2 Ga 2.50
Pd (0.5000, 0.0000, 0.7250)  2 Ga 2.50
Pd (0.5000, 0.5000, 0.5000)  8 Pd 3.00, 4 Nd 3.01

Computed properties:
* volume: 18.88 Å³/atom
* M_tot: 0.000 Bohr magnetons per cell
* ΔH_f (0 K): -768 meV per atom



Entry 6:
# Ca2Nd2GaPd4

A geometry-optimized Ca2Nd2GaPd4 structure (PBE, the Alexandria database).

Unit cell a=6.6290 b=6.6290 c=6.6290 alpha=115.60 beta=115.60 gamma=97.80
Closest atoms and distances in Å follow each position.
Element x y z (fractional)
Ca (0.2500, 0.7500, 0.5000)  8 Pd 3.31, 4 Nd 3.59
Ca (0.7500, 0.2500, 0.5000)  8 Pd 3.31, 4 Nd 3.59
Nd (0.1792, 0.1792, 0.0000)  1 Ga 2.80, 4 Pd 2.95, 1 Nd 3.12
Nd (0.8208, 0.8208, 0.0000)  1 Ga 2.80, 4 Pd 2.95, 1 Nd 3.12
Ga (0.5000, 0.5000, 0.0000)  4 Pd 2.49
Pd (0.2510, 0.2510, 0.5020)  1 Ga 2.49
Pd (0.2510, 0.7490, 0.0000)  1 Ga 2.49
Pd (0.7490, 0.2510, 0.0000)  1 Ga 2.49
Pd (0.7490, 0.7490, 0.4980)  1 Ga 2.49

Computed properties:
* volume: 24.16 Å³/atom
* M_tot: 0.000 Bohr magnetons per cell
* ΔH_f (0 K): -434 meV per atom



no.,raw total energy (eV per atom)
1,-3.54
2,-3.92
3,-6.92
4,-6.78
5,-5.08
6,-4.58